Density functional theory data (PBE) for a relaxed structure of NaGe4Pt5.

Geometry as CIF:
```
data_NaGe4Pt5
_cell_length_a 7.515
_cell_length_b 9.060
_cell_length_c 5.598
_cell_angle_alpha 90.00
_cell_angle_beta 90.00
_cell_angle_gamma 90.00
_symmetry_space_group_name_H-M 'P m m n'
_symmetry_Int_Tables_number 59
loop_
_symmetry_equiv_pos_as_xyz
'x,y,z'
'-x,-y,-z'
'-x+1/2,-y+1/2,z'
'x+1/2,y+1/2,-z'
'x+1/2,-y,-z'
'-x+1/2,y,z'
'-x,y+1/2,-z'
'x,-y+1/2,z'
loop_
_atom_site_label
_atom_site_fract_x
_atom_site_fract_y
_atom_site_fract_z
Na1 0.250 0.250 0.041
Ge1 0.015 0.750 0.439
Ge2 0.250 0.581 0.088
Pt1 0.034 0.003 0.744
Pt2 0.250 0.750 0.738
```

Calculated values
The calculated formation energy is -0.347 eV/atom.